[1]
Crystalline FeRu3N at its relaxed geometry, computed with PBE.

DOS(E_F)   8.1 states/eV/cell
Crystal system   cubic
Calculated density   7453 kg/m³
Energy relative to the elements, uncorrected   2519.7 meV/atom

abc: 4.3642 4.3642 4.3642
angles: 90.00 90.00 90.00
With the nearest neighbours (Å) after each atom.
Element x y z (fractional)
Ru: 0.0000 0.5000 0.0000  2 Fe 2.18
Ru: 0.0000 0.0000 0.5000  2 Fe 2.18
Ru: 0.5000 0.0000 0.0000  2 Fe 2.18
Fe: 0.0000 0.0000 0.0000  6 Ru 2.18
N: 0.5000 0.5000 0.5000  12 Ru 3.09

[2]
Crystalline Hf2SiIrOs at its relaxed geometry, computed with PBE.

DOS(E_F)   5.0 states/eV/cell
Crystal system   tetragonal
Calculated density   11817 kg/m³
Energy relative to the elements, uncorrected   593.2 meV/atom

abc: 4.9786 4.3514 4.9786
angles: 90.00 90.00 90.00
With the nearest neighbours (Å) after each atom.
Element x y z (fractional)
Hf: 0.0000 0.0000 0.5000  2 Ir 2.49
Hf: 0.5000 0.0000 0.0000  2 Ir 2.49
Si: 0.0000 0.5000 0.0000  2 Ir 2.18
Ir: 0.0000 0.0000 0.0000  2 Si 2.18
Os: 0.5000 0.5000 0.5000  8 Hf 3.31, 4 Si 3.52